[1]
# NbSiIO2

A relaxed NbSiIO2 crystal (PBE-GGA, the Alexandria database).

Lattice parameters (Å, degrees): 4.0014 4.0014 6.2437 90.00 90.00 90.00
Space group P4/mmm (No. 123)
Asymmetric unit:
Nb 0.0000 0.0000 0.0000 x1
Si 0.5000 0.5000 0.5000 x1
I 0.0000 0.0000 0.5000 x1
O 0.0000 0.5000 0.0000 x2

Computed properties:
formation energy (no corrections): -0.701 eV/atom
crystal system: tetragonal

[2]
# NbSiI2O

A relaxed NbSiI2O crystal (PBE-GGA, the Alexandria database).

Lattice parameters (Å, degrees): 5.7801 5.7801 3.9055 90.00 90.00 90.00
Space group P4/mmm (No. 123)
Asymmetric unit:
Nb 0.0000 0.0000 0.0000 x1
Si 0.5000 0.5000 0.5000 x1
I 0.0000 0.5000 0.0000 x2
O 0.0000 0.0000 0.5000 x1

Computed properties:
formation energy (no corrections): -0.168 eV/atom
crystal system: tetragonal

[3]
# SmNbIO4

A relaxed SmNbIO4 crystal (PBE-GGA, the Alexandria database).

Lattice parameters (Å, degrees): 12.7399 6.6089 7.0983 90.00 104.74 90.00
Space group C2/m (No. 12)
Asymmetric unit:
Sm 0.2081 0.0000 0.3388 x4
Nb 0.1246 0.0000 0.7463 x4
I 0.0300 0.5000 0.1950 x4
O 0.0253 0.0000 0.3007 x4
O 0.1801 0.2171 0.6214 x8
O 0.1852 0.0000 0.0125 x4

Computed properties:
formation energy (no corrections): -2.470 eV/atom
crystal system: monoclinic

[4]
# NbSnIO2

A relaxed NbSnIO2 crystal (PBE-GGA, the Alexandria database).

Lattice parameters (Å, degrees): 4.1653 4.1653 5.9788 90.00 90.00 90.00
Space group P4/mmm (No. 123)
Asymmetric unit:
Nb 0.0000 0.0000 0.0000 x1
Sn 0.5000 0.5000 0.5000 x1
I 0.0000 0.0000 0.5000 x1
O 0.0000 0.5000 0.0000 x2

Computed properties:
formation energy (no corrections): -0.777 eV/atom
crystal system: tetragonal

[5]
# NbSnIO2

A relaxed NbSnIO2 crystal (PBE-GGA, the Alexandria database).

Lattice parameters (Å, degrees): 4.0993 4.0993 6.3120 90.00 90.00 90.00
Space group P4/mmm (No. 123)
Asymmetric unit:
Nb 0.0000 0.0000 0.0000 x1
Sn 0.5000 0.5000 0.5000 x1
I 0.5000 0.5000 0.0000 x1
O 0.0000 0.5000 0.5000 x2

Computed properties:
formation energy (no corrections): 0.064 eV/atom
crystal system: tetragonal

[6]
# SrNbI2O

A relaxed SrNbI2O crystal (PBE-GGA, the Alexandria database).

Lattice parameters (Å, degrees): 5.2873 5.2873 6.6977 90.00 90.00 90.00
Space group P4/mmm (No. 123)
Asymmetric unit:
Sr 0.0000 0.0000 0.0000 x1
Nb 0.0000 0.0000 0.5000 x1
I 0.0000 0.5000 0.5000 x2
O 0.5000 0.5000 0.0000 x1

Computed properties:
formation energy (no corrections): 0.301 eV/atom
crystal system: tetragonal

[7]
# SrNbI2O

A relaxed SrNbI2O crystal (PBE-GGA, the Alexandria database).

Lattice parameters (Å, degrees): 6.2866 6.2866 4.2516 90.00 90.00 90.00
Space group P4/mmm (No. 123)
Asymmetric unit:
Sr 0.0000 0.0000 0.0000 x1
Nb 0.5000 0.5000 0.5000 x1
I 0.0000 0.5000 0.0000 x2
O 0.0000 0.0000 0.5000 x1

Computed properties:
formation energy (no corrections): -0.012 eV/atom
crystal system: tetragonal

[8]
# SrNbI2O

A relaxed SrNbI2O crystal (PBE-GGA, the Alexandria database).

Lattice parameters (Å, degrees): 5.9486 5.9486 3.9929 90.00 90.00 90.00
Space group P4/mmm (No. 123)
Asymmetric unit:
Sr 0.0000 0.0000 0.0000 x1
Nb 0.5000 0.5000 0.5000 x1
I 0.0000 0.5000 0.5000 x2
O 0.5000 0.5000 0.0000 x1

Computed properties:
formation energy (no corrections): -1.040 eV/atom
crystal system: tetragonal

[9]
# TaNbI2O

A relaxed TaNbI2O crystal (PBE-GGA, the Alexandria database).

Lattice parameters (Å, degrees): 5.6870 5.6870 3.8451 90.00 90.00 90.00
Space group P4/mmm (No. 123)
Asymmetric unit:
Ta 0.0000 0.0000 0.0000 x1
Nb 0.5000 0.5000 0.5000 x1
I 0.0000 0.5000 0.5000 x2
O 0.5000 0.5000 0.0000 x1

Computed properties:
formation energy (no corrections): 0.293 eV/atom
crystal system: tetragonal

[10]
# TaNbI2O

A relaxed TaNbI2O crystal (PBE-GGA, the Alexandria database).

Lattice parameters (Å, degrees): 5.7146 5.7146 3.8564 90.00 90.00 90.00
Space group P4/mmm (No. 123)
Asymmetric unit:
Ta 0.0000 0.0000 0.0000 x1
Nb 0.5000 0.5000 0.5000 x1
I 0.0000 0.5000 0.0000 x2
O 0.0000 0.0000 0.5000 x1

Computed properties:
formation energy (no corrections): 0.091 eV/atom
crystal system: tetragonal

> Among the records above, which one has the highest formation energy (no corrections)?

number 6